Record 1
The following is a DFT calculation (GGA-PBE) of a relaxed structure of YAl5.

a = 12.3506 Å, b = 3.1531 Å, c = 6.0963 Å
α = 90.00°, β = 103.83°, γ = 90.00°
With the nearest neighbours (Å) after each atom.
Space group C2/m (No. 12)
Unique sites:
Y: 0.0000 0.0000 0.0000 (multiplicity 2)  10 Al 3.05-3.12, 2 Y 3.15
Al: 0.0000 0.0000 0.5000 (multiplicity 2)  10 Al 2.92-3.15, 2 Y 3.05
Al: 0.1698 0.5000 0.3552 (multiplicity 4)  7 Al 2.80-2.92, 2 Y 3.07
Al: 0.1813 0.5000 0.8272 (multiplicity 4)  9 Al 2.84-3.15, 2 Y 3.12

Energy relative to the elements   -10 kJ per mole of atoms
Total energy   -25.771 eV/f.u.

***

Record 2
The following is a DFT calculation (GGA-PBE) of a relaxed structure of CuCF.

a = 2.5960 Å, b = 3.8506 Å, c = 7.2566 Å
α = 105.21°, β = 99.58°, γ = 91.17°
With the nearest neighbours (Å) after each atom.
Space group P-1 (No. 2)
Unique sites:
Cu: 0.1135 0.3428 0.1830 (multiplicity 2)  1 C 1.96, 3 F 2.04-2.12
C: 0.2354 0.4839 0.4675 (multiplicity 2)  2 C 1.37-1.38
F: 0.1165 0.1913 0.8799 (multiplicity 2)  3 Cu 2.04-2.12

Total energy   -16.155 eV/f.u.